VASP calculation (PBE) on PaTiMnSi2 after structural relaxation.

Calculated values
Space-group type = I-4m2
Crystal system = tetragonal
Formation energy without anion corrections = -0.57 eV per atom

Cell: 3.9375 3.9375 10.8811 Å, 90.00 90.00 90.00°
Last column: nearest neighbours and their distance in Å.
Fractional coordinates of all 10 atoms:
Pa: 0.0000 0.0000 0.0000  8 Si 3.03, 4 Mn 3.36, 4 Ti 3.36
Pa: 0.5000 0.5000 0.5000  8 Si 3.03, 4 Mn 3.36, 4 Ti 3.36
Ti: 0.0000 0.5000 0.7500  4 Si 2.50, 4 Mn 2.78
Ti: 0.5000 0.0000 0.2500  4 Si 2.50, 4 Mn 2.78
Mn: 0.0000 0.5000 0.2500  4 Si 2.50, 4 Ti 2.78
Mn: 0.5000 0.0000 0.7500  4 Si 2.50, 4 Ti 2.78
Si: 0.0000 0.0000 0.3911  1 Si 2.37, 2 Mn 2.50, 2 Ti 2.50
Si: 0.0000 0.0000 0.6089  1 Si 2.37, 2 Mn 2.50, 2 Ti 2.50
Si: 0.5000 0.5000 0.1089  1 Si 2.37, 2 Mn 2.50, 2 Ti 2.50
Si: 0.5000 0.5000 0.8911  1 Si 2.37, 2 Mn 2.50, 2 Ti 2.50


VASP calculation (PBE) on PaMnVSi after structural relaxation.

Calculated values
Space-group type = F-43m
Crystal system = cubic
Formation energy without anion corrections = -0.18 eV per atom

Cell: 6.2400 6.2400 6.2400 Å, 90.00 90.00 90.00°
Last column: nearest neighbours and their distance in Å.
Fractional coordinates of all 16 atoms:
Pa: 0.0000 0.0000 0.0000  4 Mn 2.70, 4 V 2.70
Pa: 0.0000 0.5000 0.5000  4 Mn 2.70, 4 V 2.70
Pa: 0.5000 0.0000 0.5000  4 Mn 2.70, 4 V 2.70
Pa: 0.5000 0.5000 0.0000  4 Mn 2.70, 4 V 2.70
Mn: 0.2500 0.2500 0.2500  4 Pa 2.70, 4 Si 2.70
Mn: 0.2500 0.7500 0.7500  4 Pa 2.70, 4 Si 2.70
Mn: 0.7500 0.2500 0.7500  4 Pa 2.70, 4 Si 2.70
Mn: 0.7500 0.7500 0.2500  4 Pa 2.70, 4 Si 2.70
V: 0.2500 0.2500 0.7500  4 Pa 2.70, 4 Si 2.70
V: 0.2500 0.7500 0.2500  4 Pa 2.70, 4 Si 2.70
V: 0.7500 0.2500 0.2500  4 Pa 2.70, 4 Si 2.70
V: 0.7500 0.7500 0.7500  4 Pa 2.70, 4 Si 2.70
Si: 0.0000 0.0000 0.5000  4 Mn 2.70, 4 V 2.70
Si: 0.0000 0.5000 0.0000  4 Mn 2.70, 4 V 2.70
Si: 0.5000 0.0000 0.0000  4 Mn 2.70, 4 V 2.70
Si: 0.5000 0.5000 0.5000  4 Mn 2.70, 4 V 2.70


VASP calculation (PBE) on SmPa2Mn9 after structural relaxation.

Calculated values
Energy of formation from the pure elements = 45.7 meV/atom
Space-group type = P4/mbm
Crystal system = tetragonal

Cell: 8.4213 8.4213 5.1494 Å, 90.00 90.00 90.00°
Last column: nearest neighbours and their distance in Å.
Fractional coordinates of all 24 atoms:
Sm: 0.0000 0.0000 0.0000  16 Mn 3.17-3.36, 4 Pa 3.32
Sm: 0.5000 0.5000 0.0000  16 Mn 3.17-3.36, 4 Pa 3.32
Pa: 0.1273 0.3727 0.0000  10 Mn 2.66-2.96
Pa: 0.3727 0.8727 0.0000  10 Mn 2.66-2.96
Pa: 0.6273 0.1273 0.0000  10 Mn 2.66-2.96
Pa: 0.8727 0.6273 0.0000  10 Mn 2.66-2.96
Mn: 0.0000 0.5000 0.5000  8 Mn 2.47-2.53
Mn: 0.0716 0.2082 0.5000  8 Mn 2.49-2.64
Mn: 0.1773 0.6773 0.2512  7 Mn 2.47-2.64, 1 Pa 2.66
Mn: 0.1773 0.6773 0.7488  7 Mn 2.47-2.64, 1 Pa 2.66
Mn: 0.2082 0.9284 0.5000  8 Mn 2.49-2.64
Mn: 0.2918 0.4284 0.5000  8 Mn 2.49-2.64
Mn: 0.3227 0.1773 0.2512  7 Mn 2.47-2.64, 1 Pa 2.66
Mn: 0.3227 0.1773 0.7488  7 Mn 2.47-2.64, 1 Pa 2.66
Mn: 0.4284 0.7082 0.5000  8 Mn 2.49-2.64
Mn: 0.5000 0.0000 0.5000  8 Mn 2.47-2.53
Mn: 0.5716 0.2918 0.5000  8 Mn 2.49-2.64
Mn: 0.6773 0.8227 0.2512  7 Mn 2.47-2.64, 1 Pa 2.66
Mn: 0.6773 0.8227 0.7488  7 Mn 2.47-2.64, 1 Pa 2.66
Mn: 0.7082 0.5716 0.5000  8 Mn 2.49-2.64
Mn: 0.7918 0.0716 0.5000  8 Mn 2.49-2.64
Mn: 0.8227 0.3227 0.2512  7 Mn 2.47-2.64, 1 Pa 2.66
Mn: 0.8227 0.3227 0.7488  7 Mn 2.47-2.64, 1 Pa 2.66
Mn: 0.9284 0.7918 0.5000  8 Mn 2.49-2.64


VASP calculation (PBE) on SmPaMn17 after structural relaxation.

Calculated values
Energy of formation from the pure elements = 14.0 meV/atom
Space-group type = R3m
Crystal system = trigonal

Cell: 6.3202 6.3202 6.3202 Å, 86.23 86.23 86.23°
Last column: nearest neighbours and their distance in Å.
Fractional coordinates of all 19 atoms:
Sm: 0.0000 0.0000 0.0000  16 Mn 2.93-3.25
Pa: 0.2941 0.2941 0.2941  13 Mn 2.87-3.17
Mn: 0.0032 0.0032 0.5145  9 Mn 2.48-2.69
Mn: 0.0032 0.5145 0.0032  9 Mn 2.48-2.69
Mn: 0.1450 0.6476 0.6476  8 Mn 2.31-2.48
Mn: 0.2889 0.2889 0.7660  9 Mn 2.47-2.67
Mn: 0.2889 0.7660 0.2889  9 Mn 2.47-2.67
Mn: 0.3730 0.6434 0.9185  6 Mn 2.31-2.54
Mn: 0.3730 0.9185 0.6434  6 Mn 2.31-2.54
Mn: 0.5145 0.0032 0.0032  9 Mn 2.48-2.69
Mn: 0.5409 0.5409 0.5409  7 Mn 2.36-2.61
Mn: 0.6434 0.3730 0.9185  6 Mn 2.31-2.54
Mn: 0.6434 0.9185 0.3730  6 Mn 2.31-2.54
Mn: 0.6476 0.1450 0.6476  8 Mn 2.31-2.48
Mn: 0.6476 0.6476 0.1450  8 Mn 2.31-2.48
Mn: 0.7434 0.7434 0.7434  10 Mn 2.36-2.62
Mn: 0.7660 0.2889 0.2889  9 Mn 2.47-2.67
Mn: 0.9185 0.3730 0.6434  6 Mn 2.31-2.54
Mn: 0.9185 0.6434 0.3730  6 Mn 2.31-2.54


VASP calculation (PBE) on SmPaMn4 after structural relaxation.

Calculated values
Energy of formation from the pure elements = 99.7 meV/atom
Space-group type = F-43m
Crystal system = cubic

Cell: 5.1608 5.1608 5.1608 Å, 60.00 60.00 60.00°
Last column: nearest neighbours and their distance in Å.
Fractional coordinates of all 6 atoms:
Sm: 0.0000 0.0000 0.0000  12 Mn 3.03, 4 Pa 3.16
Pa: 0.7500 0.7500 0.7500  12 Mn 3.02, 4 Sm 3.16
Mn: 0.3761 0.3761 0.3761  6 Mn 2.56-2.60
Mn: 0.3761 0.3761 0.8718  6 Mn 2.56-2.60
Mn: 0.3761 0.8718 0.3761  6 Mn 2.56-2.60
Mn: 0.8718 0.3761 0.3761  6 Mn 2.56-2.60


VASP calculation (PBE) on SmPaMn2 after structural relaxation.

Calculated values
Energy of formation from the pure elements = 90.9 meV/atom
Space-group type = R-3m
Crystal system = trigonal

Cell: 4.2979 4.2979 15.6322 Å, 90.00 90.00 120.00°
Last column: nearest neighbours and their distance in Å.
Fractional coordinates of all 12 atoms:
Sm: 0.0000 0.0000 0.0000  8 Mn 3.15-3.22
Sm: 0.3333 0.6667 0.6667  8 Mn 3.15-3.22
Sm: 0.6667 0.3333 0.3333  8 Mn 3.15-3.22
Pa: 0.0000 0.0000 0.5000  6 Mn 2.54
Pa: 0.3333 0.6667 0.1667  6 Mn 2.54
Pa: 0.6667 0.3333 0.8333  6 Mn 2.54
Mn: 0.0000 0.0000 0.2016  3 Pa 2.54, 3 Mn 2.71
Mn: 0.0000 0.0000 0.7984  3 Pa 2.54, 3 Mn 2.71
Mn: 0.3333 0.6667 0.4651  3 Pa 2.54, 3 Mn 2.71
Mn: 0.3333 0.6667 0.8682  3 Pa 2.54, 3 Mn 2.71
Mn: 0.6667 0.3333 0.1318  3 Pa 2.54, 3 Mn 2.71
Mn: 0.6667 0.3333 0.5349  3 Pa 2.54, 3 Mn 2.71


VASP calculation (PBE) on PaMn2Sn after structural relaxation.

Calculated values
Energy of formation from the pure elements = 15.9 meV/atom
Space-group type = Fm-3m
Offset from the most stable computed form = 17 meV/atom
Crystal system = cubic

Cell: 6.4816 6.4816 6.4816 Å, 90.00 90.00 90.00°
Last column: nearest neighbours and their distance in Å.
Fractional coordinates of all 16 atoms:
Pa: 0.0000 0.0000 0.0000  8 Mn 2.81
Pa: 0.0000 0.5000 0.5000  8 Mn 2.81
Pa: 0.5000 0.0000 0.5000  8 Mn 2.81
Pa: 0.5000 0.5000 0.0000  8 Mn 2.81
Mn: 0.2500 0.2500 0.2500  4 Sn 2.81, 4 Pa 2.81
Mn: 0.2500 0.2500 0.7500  4 Sn 2.81, 4 Pa 2.81
Mn: 0.2500 0.7500 0.2500  4 Sn 2.81, 4 Pa 2.81
Mn: 0.2500 0.7500 0.7500  4 Sn 2.81, 4 Pa 2.81
Mn: 0.7500 0.2500 0.2500  4 Sn 2.81, 4 Pa 2.81
Mn: 0.7500 0.2500 0.7500  4 Sn 2.81, 4 Pa 2.81
Mn: 0.7500 0.7500 0.2500  4 Sn 2.81, 4 Pa 2.81
Mn: 0.7500 0.7500 0.7500  4 Sn 2.81, 4 Pa 2.81
Sn: 0.0000 0.0000 0.5000  8 Mn 2.81
Sn: 0.0000 0.5000 0.0000  8 Mn 2.81
Sn: 0.5000 0.0000 0.0000  8 Mn 2.81
Sn: 0.5000 0.5000 0.5000  8 Mn 2.81


VASP calculation (PBE) on Pa2Mn3Sn2 after structural relaxation.

Calculated values
Energy of formation from the pure elements = -211.7 meV/atom
Space-group type = C2/m
Crystal system = monoclinic

Cell: 12.3067 4.5985 4.8390 Å, 90.00 98.05 90.00°
Last column: nearest neighbours and their distance in Å.
Fractional coordinates of all 14 atoms:
Pa: 0.1481 0.0000 0.3764  2 Mn 2.22-2.39
Pa: 0.3519 0.5000 0.6236  2 Mn 2.22-2.39
Pa: 0.6481 0.5000 0.3764  2 Mn 2.22-2.39
Pa: 0.8519 0.0000 0.6236  2 Mn 2.22-2.39
Mn: 0.0000 0.0000 0.0000  2 Pa 2.39
Mn: 0.2016 0.0000 0.8344  1 Pa 2.22
Mn: 0.2984 0.5000 0.1656  1 Pa 2.22
Mn: 0.5000 0.5000 0.0000  2 Pa 2.39
Mn: 0.7016 0.5000 0.8344  1 Pa 2.22
Mn: 0.7984 0.0000 0.1656  1 Pa 2.22
Sn: 0.0958 0.5000 0.8412  5 Mn 2.64-2.75
Sn: 0.4042 0.0000 0.1588  5 Mn 2.64-2.75
Sn: 0.5958 0.0000 0.8412  5 Mn 2.64-2.75
Sn: 0.9042 0.5000 0.1588  5 Mn 2.64-2.75


VASP calculation (PBE) on PaMnSn2 after structural relaxation.

Calculated values
Energy of formation from the pure elements = 79.3 meV/atom
Space-group type = P4/mmm
Offset from the most stable computed form = 121 meV/atom
Crystal system = tetragonal

Cell: 3.3888 3.3888 7.4581 Å, 90.00 90.00 90.00°
Last column: nearest neighbours and their distance in Å.
Fractional coordinates of all 4 atoms:
Pa: 0.0000 0.0000 0.0000  8 Sn 3.24, 4 Pa 3.39
Mn: 0.0000 0.0000 0.5000  8 Sn 2.85
Sn: 0.5000 0.5000 0.2929  4 Mn 2.85, 1 Sn 3.09
Sn: 0.5000 0.5000 0.7071  4 Mn 2.85, 1 Sn 3.09


VASP calculation (PBE) on PaMnSn2 after structural relaxation.

Calculated values
Energy of formation from the pure elements = -42.1 meV/atom
Space-group type = P4/mmm
Offset from the most stable computed form = 0 meV/atom
Crystal system = tetragonal

Cell: 4.5674 4.5674 4.4086 Å, 90.00 90.00 90.00°
Last column: nearest neighbours and their distance in Å.
Fractional coordinates of all 4 atoms:
Pa: 0.0000 0.0000 0.0000  8 Sn 3.17, 4 Mn 3.23
Mn: 0.5000 0.5000 0.0000  8 Sn 3.17, 4 Pa 3.23
Sn: 0.0000 0.5000 0.5000  4 Mn 3.17, 4 Pa 3.17, 4 Sn 3.23
Sn: 0.5000 0.0000 0.5000  4 Mn 3.17, 4 Pa 3.17, 4 Sn 3.23


VASP calculation (PBE) on PaMn2Sn after structural relaxation.

Calculated values
Energy of formation from the pure elements = -1.5 meV/atom
Space-group type = P4/mmm
Offset from the most stable computed form = 0 meV/atom
Crystal system = tetragonal

Cell: 4.4569 4.4569 3.4083 Å, 90.00 90.00 90.00°
Last column: nearest neighbours and their distance in Å.
Fractional coordinates of all 4 atoms:
Pa: 0.0000 0.0000 0.0000  8 Mn 2.81
Mn: 0.0000 0.5000 0.5000  4 Sn 2.81, 4 Pa 2.81
Mn: 0.5000 0.0000 0.5000  4 Sn 2.81, 4 Pa 2.81
Sn: 0.5000 0.5000 0.0000  8 Mn 2.81


VASP calculation (PBE) on PaMnSn2 after structural relaxation.

Calculated values
Energy of formation from the pure elements = 17.7 meV/atom
Space-group type = R-3m
Offset from the most stable computed form = 60 meV/atom
Crystal system = trigonal

Cell: 4.5592 4.5592 15.3000 Å, 90.00 90.00 120.00°
Last column: nearest neighbours and their distance in Å.
Fractional coordinates of all 12 atoms:
Pa: 0.0000 0.0000 0.0000  8 Sn 3.10-3.47
Pa: 0.3333 0.6667 0.6667  8 Sn 3.10-3.47
Pa: 0.6667 0.3333 0.3333  8 Sn 3.10-3.47
Mn: 0.0000 0.0000 0.5000  6 Sn 2.79
Mn: 0.3333 0.6667 0.1667  6 Sn 2.79
Mn: 0.6667 0.3333 0.8333  6 Sn 2.79
Sn: 0.0000 0.0000 0.2265  3 Mn 2.79, 3 Pa 3.10
Sn: 0.0000 0.0000 0.7735  3 Mn 2.79, 3 Pa 3.10
Sn: 0.3333 0.6667 0.4402  3 Mn 2.79, 3 Pa 3.10
Sn: 0.3333 0.6667 0.8932  3 Mn 2.79, 3 Pa 3.10
Sn: 0.6667 0.3333 0.1068  3 Mn 2.79, 3 Pa 3.10
Sn: 0.6667 0.3333 0.5598  3 Mn 2.79, 3 Pa 3.10


Copy entry 11 word for word.
VASP calculation (PBE) on PaMn2Sn after structural relaxation.

Calculated values
Energy of formation from the pure elements = -1.5 meV/atom
Space-group type = P4/mmm
Offset from the most stable computed form = 0 meV/atom
Crystal system = tetragonal

Cell: 4.4569 4.4569 3.4083 Å, 90.00 90.00 90.00°
Last column: nearest neighbours and their distance in Å.
Fractional coordinates of all 4 atoms:
Pa: 0.0000 0.0000 0.0000  8 Mn 2.81
Mn: 0.0000 0.5000 0.5000  4 Sn 2.81, 4 Pa 2.81
Mn: 0.5000 0.0000 0.5000  4 Sn 2.81, 4 Pa 2.81
Sn: 0.5000 0.5000 0.0000  8 Mn 2.81